Record 1
## ScMn4Te (PBE)

Data for a geometry-optimized ScMn4Te structure.

a b c (Å): 6.9875 6.9875 6.9875
angles (deg): 90.00 90.00 90.00
Space group F-43m (No. 216)
Asymmetric unit:
Sc 0.0000 0.0000 0.0000 (multiplicity 4)
Mn 0.1245 0.1245 0.6245 (multiplicity 16)
Te 0.2500 0.2500 0.2500 (multiplicity 4)

Calculated values
ΔE_f (raw): 120 meV per atom
density: 7.6 g/cm³



Record 2
## LaCeP (PBE)

Data for a geometry-optimized LaCeP structure.

a b c (Å): 3.6777 3.6777 12.2635
angles (deg): 90.00 90.00 90.00
Space group I4mm (No. 107)
Asymmetric unit:
La 0.0000 0.0000 0.0000 (multiplicity 2)
Ce 0.0000 0.0000 0.2523 (multiplicity 2)
P 0.0000 0.0000 0.6350 (multiplicity 2)

Calculated values
density: 6.2 g/cm³
formation energy: -0.732 eV per atom



Question: The lowest density belongs to which entry?
Answer: LaCeP